Entry 1:
This record from Alexandria describes a relaxed Rb2CrBiIr crystal. The functional is PBE-GGA.

Properties
The value obtained for the total energy is -20.153 eV for the cell shown. Its space group is P4/mmm (123). The formation energy comes out at 829 meV per atom. The calculation puts the theoretical density at 5.15 g/cm³.

Cell: 6.636 4.569 6.636 Å, 90.00 90.00 90.00°
Sites, in units of the cell vectors:
Cr (0.000, 0.500, 0.000)
Ir (0.000, 0.000, 0.000)
Rb (0.000, 0.000, 0.500)
Rb (0.500, 0.000, 0.000)
Bi (0.500, 0.500, 0.500)

Entry 2:
This record from Alexandria describes a relaxed CrBi2IrRu crystal. The functional is PBE-GGA.

Properties
The value obtained for the total energy is -29.103 eV for the cell shown. Its space group is P4/mmm (123). The formation energy comes out at 1284 meV per atom. The calculation puts the theoretical density at 11.49 g/cm³.

Cell: 5.026 4.365 5.026 Å, 90.00 90.00 90.00°
Sites, in units of the cell vectors:
Cr (0.000, 0.000, 0.000)
Ir (0.500, 0.500, 0.500)
Ru (0.000, 0.500, 0.000)
Bi (0.500, 0.000, 0.000)
Bi (0.000, 0.000, 0.500)

Entry 3:
This record from Alexandria describes a relaxed CrTc2BiIr crystal. The functional is PBE-GGA.

Properties
The value obtained for the total energy is -32.870 eV for the cell shown. Its space group is P4/mmm (123). The formation energy comes out at 2046 meV per atom. The calculation puts the theoretical density at 9.34 g/cm³.

Cell: 4.696 5.236 4.696 Å, 90.00 90.00 90.00°
Sites, in units of the cell vectors:
Tc (0.000, 0.000, 0.500)
Ir (0.000, 0.000, 0.000)
Tc (0.500, 0.000, 0.000)
Bi (0.000, 0.500, 0.000)
Cr (0.500, 0.500, 0.500)

Entry 4:
This record from Alexandria describes a relaxed Tl2CrBiIr crystal. The functional is PBE-GGA.

Properties
The value obtained for the total energy is -23.626 eV for the cell shown. Its space group is P4/mmm (123). The formation energy comes out at 694 meV per atom. The calculation puts the theoretical density at 9.52 g/cm³.

Cell: 5.241 5.475 5.241 Å, 90.00 90.00 90.00°
Sites, in units of the cell vectors:
Bi (0.000, 0.500, 0.000)
Tl (0.500, 0.000, 0.000)
Ir (0.000, 0.000, 0.000)
Cr (0.500, 0.500, 0.500)
Tl (0.000, 0.000, 0.500)